No. 1
Density functional theory data (PBE) for a geometry-optimized Nd6MgAl5 structure. Values from VASP.

Summary:
- Magnetic moment: 0.0 μB/f.u.
- Uncorrected energy: -52.76 eV for the cell shown
- Formation energy from the elements: -0.320 eV per atom
- Volume: 26.5 Å³/atom

```
&SYSTEM
  ibrav = 0, nat = 12, ntyp = 3
/
ATOMIC_SPECIES
Nd 144.24 Nd.upf
Mg 24.30 Mg.upf
Al 26.98 Al.upf
CELL_PARAMETERS angstrom
2.657 -7.981 0.000
2.657 7.981 0.000
0.000 0.000 7.486
ATOMIC_POSITIONS crystal
Nd 0.000 0.000 0.244
Nd 0.000 0.000 0.756
Nd 0.330 0.670 0.249
Nd 0.330 0.670 0.751
Nd 0.670 0.330 0.249
Nd 0.670 0.330 0.751
Mg 0.500 0.500 0.500
Al 0.160 0.840 0.500
Al 0.166 0.834 0.000
Al 0.500 0.500 0.000
Al 0.834 0.166 0.000
Al 0.840 0.160 0.500
```

---

No. 2
Density functional theory data (PBE) for a geometry-optimized NdMg4Al2 structure. Values from VASP.

Summary:
- Magnetic moment: 0.0 μB/f.u.
- Uncorrected energy: -18.90 eV for the cell shown
- Formation energy from the elements: -0.038 eV per atom
- Volume: 23.0 Å³/atom

```
&SYSTEM
  ibrav = 0, nat = 7, ntyp = 3
/
ATOMIC_SPECIES
Nd 144.24 Nd.upf
Mg 24.30 Mg.upf
Al 26.98 Al.upf
CELL_PARAMETERS angstrom
5.086 -3.365 0.000
5.086 3.365 0.000
-3.039 0.000 4.696
ATOMIC_POSITIONS crystal
Nd 0.000 0.000 0.000
Mg 0.029 0.601 0.314
Mg 0.399 0.971 0.686
Mg 0.601 0.029 0.314
Mg 0.971 0.399 0.686
Al 0.500 0.500 0.233
Al 0.500 0.500 0.767
```

---

No. 3
Density functional theory data (PBE) for a geometry-optimized Nd6MgAl2 structure. Values from VASP.

Summary:
- Magnetic moment: 0.0 μB/f.u.
- Uncorrected energy: -76.36 eV for the cell shown
- Formation energy from the elements: -0.055 eV per atom
- Volume: 30.6 Å³/atom

```
&SYSTEM
  ibrav = 0, nat = 18, ntyp = 3
/
ATOMIC_SPECIES
Nd 144.24 Nd.upf
Mg 24.30 Mg.upf
Al 26.98 Al.upf
CELL_PARAMETERS angstrom
6.442 0.000 0.000
0.000 8.829 0.000
-4.986 0.000 9.671
ATOMIC_POSITIONS crystal
Nd 0.063 0.055 0.210
Nd 0.063 0.445 0.710
Nd 0.155 0.700 0.073
Nd 0.155 0.800 0.573
Nd 0.420 0.149 0.055
Nd 0.420 0.351 0.555
Nd 0.580 0.649 0.445
Nd 0.580 0.851 0.945
Nd 0.845 0.200 0.427
Nd 0.845 0.300 0.927
Nd 0.937 0.555 0.290
Nd 0.937 0.945 0.790
Mg 0.500 0.000 0.500
Mg 0.500 0.500 0.000
Al 0.322 0.121 0.735
Al 0.322 0.379 0.235
Al 0.678 0.621 0.765
Al 0.678 0.879 0.265
```

---

No. 4
Density functional theory data (PBE) for a geometry-optimized NdMg2Al structure. Values from VASP.

Summary:
- Magnetic moment: 0.0 μB/f.u.
- Uncorrected energy: -12.49 eV for the cell shown
- Formation energy from the elements: -0.197 eV per atom
- Volume: 24.5 Å³/atom

```
&SYSTEM
  ibrav = 0, nat = 4, ntyp = 3
/
ATOMIC_SPECIES
Nd 144.24 Nd.upf
Mg 24.30 Mg.upf
Al 26.98 Al.upf
CELL_PARAMETERS angstrom
4.493 0.000 0.000
0.000 4.493 0.000
0.000 0.000 4.859
ATOMIC_POSITIONS crystal
Nd 0.000 0.000 0.000
Mg 0.000 0.500 0.500
Mg 0.500 0.000 0.500
Al 0.500 0.500 0.000
```

---

No. 5
Density functional theory data (PBE) for a geometry-optimized NdMg2Al structure. Values from VASP.

Summary:
- Magnetic moment: 0.0 μB/f.u.
- Uncorrected energy: -10.91 eV for the cell shown
- Formation energy from the elements: 0.197 eV per atom
- Volume: 25.1 Å³/atom

```
&SYSTEM
  ibrav = 0, nat = 4, ntyp = 3
/
ATOMIC_SPECIES
Nd 144.24 Nd.upf
Mg 24.30 Mg.upf
Al 26.98 Al.upf
CELL_PARAMETERS angstrom
1.607 0.928 11.244
-1.607 0.928 11.244
0.000 -1.855 11.244
ATOMIC_POSITIONS crystal
Nd 0.000 0.000 0.000
Mg 0.097 0.097 0.097
Mg 0.903 0.903 0.903
Al 0.500 0.500 0.500
```

---

No. 6
Density functional theory data (PBE) for a geometry-optimized Nd4MgAl structure. Values from VASP.

Summary:
- Magnetic moment: 0.0 μB/f.u.
- Uncorrected energy: -23.91 eV for the cell shown
- Formation energy from the elements: 0.082 eV per atom
- Volume: 32.3 Å³/atom
- Offset from the most stable computed form: 204 meV/atom

```
&SYSTEM
  ibrav = 0, nat = 6, ntyp = 3
/
ATOMIC_SPECIES
Nd 144.24 Nd.upf
Mg 24.30 Mg.upf
Al 26.98 Al.upf
CELL_PARAMETERS angstrom
5.760 -1.768 0.000
5.760 1.768 0.000
-4.557 0.000 9.520
ATOMIC_POSITIONS crystal
Nd 0.133 0.133 0.359
Nd 0.344 0.344 0.166
Nd 0.656 0.656 0.834
Nd 0.867 0.867 0.641
Mg 0.000 0.000 0.000
Al 0.500 0.500 0.500
```

---

No. 7
Density functional theory data (PBE) for a geometry-optimized NdMg7Al5 structure. Values from VASP.

Summary:
- Magnetic moment: 0.0 μB/f.u.
- Uncorrected energy: -36.02 eV for the cell shown
- Formation energy from the elements: -0.106 eV per atom
- Volume: 21.1 Å³/atom

```
&SYSTEM
  ibrav = 0, nat = 13, ntyp = 3
/
ATOMIC_SPECIES
Nd 144.24 Nd.upf
Mg 24.30 Mg.upf
Al 26.98 Al.upf
CELL_PARAMETERS angstrom
-2.803 4.920 4.963
2.803 -4.920 4.963
2.803 4.920 -4.963
ATOMIC_POSITIONS crystal
Nd 0.000 0.000 0.000
Mg 0.194 0.485 0.709
Mg 0.334 0.983 0.351
Mg 0.341 0.341 0.000
Mg 0.633 0.983 0.649
Mg 0.640 0.640 0.000
Mg 0.768 0.268 0.500
Mg 0.776 0.485 0.291
Al 0.198 0.698 0.500
Al 0.477 0.483 0.492
Al 0.477 0.985 0.995
Al 0.990 0.483 0.005
Al 0.990 0.985 0.508
```

---

No. 8
Density functional theory data (PBE) for a geometry-optimized Nd2Mg2Al15 structure. Values from VASP.

Summary:
- Magnetic moment: 0.0 μB/f.u.
- Uncorrected energy: -71.67 eV for the cell shown
- Formation energy from the elements: -0.148 eV per atom
- Volume: 19.0 Å³/atom

```
&SYSTEM
  ibrav = 0, nat = 19, ntyp = 3
/
ATOMIC_SPECIES
Nd 144.24 Nd.upf
Mg 24.30 Mg.upf
Al 26.98 Al.upf
CELL_PARAMETERS angstrom
4.759 2.747 4.606
-4.759 2.747 4.606
0.000 -5.495 4.606
ATOMIC_POSITIONS crystal
Nd 0.147 0.147 0.147
Nd 0.853 0.853 0.853
Mg 0.397 0.397 0.397
Mg 0.603 0.603 0.603
Al 0.000 0.500 0.500
Al 0.149 0.149 0.655
Al 0.149 0.655 0.149
Al 0.205 0.500 0.795
Al 0.205 0.795 0.500
Al 0.345 0.851 0.851
Al 0.500 0.000 0.500
Al 0.500 0.205 0.795
Al 0.500 0.500 0.000
Al 0.500 0.795 0.205
Al 0.655 0.149 0.149
Al 0.795 0.205 0.500
Al 0.795 0.500 0.205
Al 0.851 0.345 0.851
Al 0.851 0.851 0.345
```

---

No. 9
Density functional theory data (PBE) for a geometry-optimized Nd6Mg2Al structure. Values from VASP.

Summary:
- Magnetic moment: 0.0 μB/f.u.
- Uncorrected energy: -71.64 eV for the cell shown
- Formation energy from the elements: -0.031 eV per atom
- Volume: 31.5 Å³/atom

```
&SYSTEM
  ibrav = 0, nat = 18, ntyp = 3
/
ATOMIC_SPECIES
Nd 144.24 Nd.upf
Mg 24.30 Mg.upf
Al 26.98 Al.upf
CELL_PARAMETERS angstrom
-4.895 5.327 5.428
4.895 -5.327 5.428
4.895 5.327 -5.428
ATOMIC_POSITIONS crystal
Nd 0.066 0.245 0.821
Nd 0.250 0.574 0.324
Nd 0.250 0.926 0.676
Nd 0.307 0.239 0.546
Nd 0.307 0.761 0.068
Nd 0.424 0.245 0.179
Nd 0.576 0.755 0.821
Nd 0.693 0.239 0.932
Nd 0.693 0.761 0.454
Nd 0.750 0.074 0.324
Nd 0.750 0.426 0.676
Nd 0.934 0.755 0.179
Mg 0.000 0.144 0.144
Mg 0.000 0.856 0.856
Mg 0.132 0.500 0.632
Mg 0.868 0.500 0.368
Al 0.500 0.000 0.500
Al 0.500 0.500 0.000
```

---

No. 10
Density functional theory data (PBE) for a geometry-optimized NdMgAl4 structure. Values from VASP.

Summary:
- Magnetic moment: 0.0 μB/f.u.
- Uncorrected energy: -22.70 eV for the cell shown
- Formation energy from the elements: -0.228 eV per atom
- Volume: 20.5 Å³/atom
- Offset from the most stable computed form: 60 meV/atom

```
&SYSTEM
  ibrav = 0, nat = 6, ntyp = 3
/
ATOMIC_SPECIES
Nd 144.24 Nd.upf
Mg 24.30 Mg.upf
Al 26.98 Al.upf
CELL_PARAMETERS angstrom
0.000 3.948 3.948
3.948 0.000 3.948
3.948 3.948 0.000
ATOMIC_POSITIONS crystal
Nd 0.000 0.000 0.000
Mg 0.750 0.750 0.750
Al 0.375 0.375 0.375
Al 0.375 0.375 0.876
Al 0.375 0.876 0.375
Al 0.876 0.375 0.375
```

---

No. 11
Density functional theory data (PBE) for a geometry-optimized NdMgAl2 structure. Values from VASP.

Summary:
- Magnetic moment: 0.0 μB/f.u.
- Uncorrected energy: -14.67 eV for the cell shown
- Formation energy from the elements: -0.205 eV per atom
- Volume: 23.9 Å³/atom
- Offset from the most stable computed form: 92 meV/atom

```
&SYSTEM
  ibrav = 0, nat = 4, ntyp = 3
/
ATOMIC_SPECIES
Nd 144.24 Nd.upf
Mg 24.30 Mg.upf
Al 26.98 Al.upf
CELL_PARAMETERS angstrom
2.292 1.323 5.259
-2.292 1.323 5.259
0.000 -2.647 5.259
ATOMIC_POSITIONS crystal
Nd 0.000 0.000 0.000
Mg 0.500 0.500 0.500
Al 0.214 0.214 0.214
Al 0.786 0.786 0.786
```

---

No. 12
Density functional theory data (PBE) for a geometry-optimized Nd2Mg3Al2 structure. Values from VASP.

Summary:
- Magnetic moment: 0.0 μB/f.u.
- Uncorrected energy: -23.33 eV for the cell shown
- Formation energy from the elements: -0.218 eV per atom
- Volume: 25.3 Å³/atom

```
&SYSTEM
  ibrav = 0, nat = 7, ntyp = 3
/
ATOMIC_SPECIES
Nd 144.24 Nd.upf
Mg 24.30 Mg.upf
Al 26.98 Al.upf
CELL_PARAMETERS angstrom
2.290 -10.955 0.000
2.290 10.955 0.000
0.000 0.000 3.534
ATOMIC_POSITIONS crystal
Nd 0.161 0.839 0.000
Nd 0.839 0.161 0.000
Mg 0.000 0.000 0.000
Mg 0.428 0.572 0.500
Mg 0.572 0.428 0.500
Al 0.283 0.717 0.500
Al 0.717 0.283 0.500
```